{"formula": "MnHgRh", "functional": "meta-GGA SCAN", "state": "PBEsol geometry", "lattice_angstrom": [[3.1518, 0.0000, 0.0000], [0.0000, 3.1518, 0.0000], [0.0000, 0.0000, 9.3336]], "species": ["Mn", "Mn", "Hg", "Hg", "Rh", "Rh"], "fractional_positions": [[0.0000, 0.0000, 0.0000], [0.5000, 0.5000, 0.5000], [0.0000, 0.0000, 0.3214], [0.5000, 0.5000, 0.8214], [0.0000, 0.0000, 0.6343], [0.5000, 0.5000, 0.1343]], "sg": "No. 107", "delta_e_f_ev_per_fu": -0.6}

---

{"formula": "MnHgRh2", "functional": "meta-GGA SCAN", "state": "PBEsol geometry", "lattice_angstrom": [[2.8297, 0.0000, 0.0000], [-1.4149, 2.4506, 0.0000], [0.0000, 0.0000, 25.8326]], "species": ["Mn", "Mn", "Mn", "Hg", "Hg", "Hg", "Rh", "Rh", "Rh", "Rh", "Rh", "Rh"], "fractional_positions": [[0.0000, 0.0000, 0.0000], [0.3333, 0.6667, 0.6667], [0.6667, 0.3333, 0.3333], [0.0000, 0.0000, 0.5000], [0.3333, 0.6667, 0.1667], [0.6667, 0.3333, 0.8333], [0.0000, 0.0000, 0.2591], [0.0000, 0.0000, 0.7409], [0.3333, 0.6667, 0.4076], [0.3333, 0.6667, 0.9258], [0.6667, 0.3333, 0.0742], [0.6667, 0.3333, 0.5924]], "sg": "No. 166", "delta_e_f_ev_per_fu": -0.3}

---

{"formula": "MnHg3Ru", "functional": "meta-GGA SCAN", "state": "PBEsol geometry", "lattice_angstrom": [[5.0973, 0.0000, 0.0000], [0.0000, 5.0973, 0.0000], [0.0000, 0.0000, 5.0973]], "species": ["Mn", "Hg", "Hg", "Hg", "Ru"], "fractional_positions": [[0.0000, 0.0000, 0.0000], [0.0000, 0.5000, 0.5000], [0.5000, 0.0000, 0.5000], [0.5000, 0.5000, 0.0000], [0.5000, 0.5000, 0.5000]], "sg": "No. 221", "delta_e_f_ev_per_fu": 3.7}

---

{"formula": "MnHg2Ru", "functional": "meta-GGA SCAN", "state": "PBEsol geometry", "lattice_angstrom": [[4.0583, 0.0000, 0.0000], [0.0000, 4.0583, 0.0000], [0.0000, 0.0000, 4.0151]], "species": ["Mn", "Hg", "Hg", "Ru"], "fractional_positions": [[0.0000, 0.0000, 0.0000], [0.0000, 0.5000, 0.5000], [0.5000, 0.0000, 0.5000], [0.5000, 0.5000, 0.0000]], "sg": "No. 123", "delta_e_f_ev_per_fu": 0.6}

---

{"formula": "MnHg2Ru", "functional": "meta-GGA SCAN", "state": "PBEsol geometry", "lattice_angstrom": [[5.7738, 0.0000, 0.0000], [0.0000, 7.4343, 0.0000], [0.0000, 0.0000, 3.0910]], "species": ["Mn", "Mn", "Hg", "Hg", "Hg", "Hg", "Ru", "Ru"], "fractional_positions": [[0.0000, 0.0000, 0.0000], [0.5000, 0.5000, 0.0000], [0.2500, 0.2500, 0.5000], [0.2500, 0.7500, 0.5000], [0.7500, 0.2500, 0.5000], [0.7500, 0.7500, 0.5000], [0.0000, 0.5000, 0.0000], [0.5000, 0.0000, 0.0000]], "sg": "No. 65", "delta_e_f_ev_per_fu": 1.0}

---

{"formula": "MnHg2Ru", "functional": "meta-GGA SCAN", "state": "PBEsol geometry", "lattice_angstrom": [[2.9167, 0.0000, 0.0000], [-1.4583, 2.5259, 0.0000], [0.0000, 0.0000, 27.4967]], "species": ["Mn", "Mn", "Mn", "Hg", "Hg", "Hg", "Hg", "Hg", "Hg", "Ru", "Ru", "Ru"], "fractional_positions": [[0.0000, 0.0000, 0.0000], [0.3333, 0.6667, 0.6667], [0.6667, 0.3333, 0.3333], [0.0000, 0.0000, 0.2503], [0.0000, 0.0000, 0.4846], [0.3333, 0.6667, 0.1513], [0.3333, 0.6667, 0.9170], [0.6667, 0.3333, 0.5837], [0.6667, 0.3333, 0.8180], [0.0000, 0.0000, 0.7309], [0.3333, 0.6667, 0.3976], [0.6667, 0.3333, 0.0643]], "sg": "No. 160", "delta_e_f_ev_per_fu": 1.0}

---

{"formula": "MnHg2Ru", "functional": "meta-GGA SCAN", "state": "PBEsol geometry", "lattice_angstrom": [[2.9451, 0.0000, 0.0000], [-1.4725, 2.5505, 0.0000], [0.0000, 0.0000, 26.8250]], "species": ["Mn", "Mn", "Mn", "Hg", "Hg", "Hg", "Hg", "Hg", "Hg", "Ru", "Ru", "Ru"], "fractional_positions": [[0.0000, 0.0000, 0.0000], [0.3333, 0.6667, 0.6667], [0.6667, 0.3333, 0.3333], [0.0000, 0.0000, 0.2505], [0.0000, 0.0000, 0.7495], [0.3333, 0.6667, 0.4162], [0.3333, 0.6667, 0.9171], [0.6667, 0.3333, 0.0829], [0.6667, 0.3333, 0.5838], [0.0000, 0.0000, 0.5000], [0.3333, 0.6667, 0.1667], [0.6667, 0.3333, 0.8333]], "sg": "No. 166", "delta_e_f_ev_per_fu": 1.4}

---

{"formula": "MnHg4S5", "functional": "meta-GGA SCAN", "state": "PBEsol geometry", "lattice_angstrom": [[-2.0494, 2.0494, 14.4975], [2.0494, -2.0494, 14.4975], [2.0494, 2.0494, -14.4975]], "species": ["Mn", "Hg", "Hg", "Hg", "Hg", "S", "S", "S", "S", "S"], "fractional_positions": [[0.0000, 0.0000, 0.0000], [0.1983, 0.1983, 0.0000], [0.4053, 0.4053, 0.0000], [0.5947, 0.5947, 0.0000], [0.8017, 0.8017, 0.0000], [0.0421, 0.5421, 0.5000], [0.2500, 0.7500, 0.5000], [0.4579, 0.9579, 0.5000], [0.6464, 0.1464, 0.5000], [0.8536, 0.3536, 0.5000]], "raw_formation_energy_mev_per_atom": -336, "sg": "No. 119"}

---

Number 1: magnetic moment 4.24 μB per formula unit. Number 2: magnetic moment 4.01 μB per formula unit. Number 3: magnetic moment 6.27 μB per formula unit. Number 4: magnetic moment 4.77 μB per formula unit. Number 5: magnetic moment 4.89 μB per formula unit. Number 6: magnetic moment 3.51 μB per formula unit. Number 7: magnetic moment 3.09 μB per formula unit. Number 8: magnetic moment 4.99 μB per formula unit.